This record from the Alexandria database describes a relaxed structure of FeI2O2. The functional is PBE with a Hubbard U.

The calculation puts the calculated total energy at -0.2474 Ry per atom.

It has space group P4/mmm (No. 123), with a = 5.899 Å, b = 5.899 Å, c = 3.565 Å, α = 90.00°, β = 90.00° and γ = 90.00°. The distinct sites, in fractional coordinates, are Fe at (0.000, 0.000, 0.000), I at (0.000, 0.500, 0.000), O at (0.000, 0.000, 0.500) and O at (0.500, 0.500, 0.500).